Tm3ThTe6 | PBE | optimized geometry

Lattice parameters (Å, degrees): 4.3060 12.3891 12.7334 108.75 90.00 90.00
Last column: nearest neighbours and their distance in Å.
Fractional coordinates of all 20 atoms:
Tm 0.7500 0.4319 0.8372  6 Te 3.04-3.07
Tm 0.2500 0.5681 0.1628  6 Te 3.04-3.07
Tm 0.7500 0.6804 0.5012  7 Te 3.02-3.26
Tm 0.2500 0.3196 0.4988  7 Te 3.02-3.26
Tm 0.7500 0.1551 0.0794  6 Te 3.00-3.05
Tm 0.2500 0.8449 0.9206  6 Te 3.00-3.05
Th 0.7500 0.0470 0.6998  8 Te 3.25-3.32
Th 0.2500 0.9530 0.3002  8 Te 3.25-3.32
Te 0.7500 0.4831 0.6194  4 Tm 3.02-3.26
Te 0.2500 0.5169 0.3806  4 Tm 3.02-3.26
Te 0.7500 0.9153 0.0961  3 Tm 3.02-3.05, 2 Th 3.29
Te 0.2500 0.0847 0.9039  3 Tm 3.02-3.05, 2 Th 3.29
Te 0.7500 0.3913 0.0622  4 Tm 3.00-3.06
Te 0.2500 0.6087 0.9378  4 Tm 3.00-3.06
Te 0.7500 0.7427 0.2773  3 Tm 3.07-3.18, 2 Th 3.32
Te 0.2500 0.2573 0.7227  3 Tm 3.07-3.18, 2 Th 3.32
Te 0.7500 0.1167 0.4692  2 Tm 3.24, 3 Th 3.25-3.32
Te 0.2500 0.8833 0.5308  2 Tm 3.24, 3 Th 3.25-3.32
Te 0.7500 0.8046 0.7482  3 Tm 3.00-3.03, 1 Th 3.25
Te 0.2500 0.1954 0.2518  3 Tm 3.00-3.03, 1 Th 3.25

Values from the calculation:
- Density of states at the Fermi level: 4.8 states/eV per cell
- Energy: -5.27 eV per atom

---

Tl5V3Cl12 | PBE | optimized geometry

Lattice parameters (Å, degrees): 3.8221 13.0234 13.0234 120.00 90.00 90.00
Last column: nearest neighbours and their distance in Å.
Fractional coordinates of all 20 atoms:
Tl 0.0000 0.3333 0.6667  6 Cl 3.22
Tl 0.0000 0.6667 0.3333  6 Cl 3.22
Tl 0.0000 0.2845 0.0000  7 Cl 3.19-3.37
Tl 0.0000 0.7155 0.7155  7 Cl 3.19-3.37
Tl 0.0000 0.0000 0.2845  7 Cl 3.19-3.37
V 0.5000 0.6670 0.0000  6 Cl 2.44-2.51
V 0.5000 0.3330 0.3330  6 Cl 2.44-2.51
V 0.5000 0.0000 0.6670  6 Cl 2.44-2.51
Cl 0.0000 0.7923 0.0000  2 V 2.51
Cl 0.0000 0.2077 0.2077  2 V 2.51
Cl 0.0000 0.0000 0.7923  2 V 2.51
Cl 0.0000 0.5432 0.0000  2 V 2.50
Cl 0.0000 0.4568 0.4568  2 V 2.50
Cl 0.0000 0.0000 0.5432  2 V 2.50
Cl 0.5000 0.2215 0.4374  1 V 2.44
Cl 0.5000 0.2159 0.7785  1 V 2.44
Cl 0.5000 0.7785 0.2159  1 V 2.44
Cl 0.5000 0.5626 0.7841  1 V 2.44
Cl 0.5000 0.7841 0.5626  1 V 2.44
Cl 0.5000 0.4374 0.2215  1 V 2.44

Values from the calculation:
- Density of states at the Fermi level: 13.8 states/eV per cell
- Energy: -4.18 eV per atom

---

Ho12Er5Pb2 | PBE | optimized geometry

Lattice parameters (Å, degrees): 9.4261 8.9170 8.2521 91.60 90.00 121.91
Last column: nearest neighbours and their distance in Å.
Fractional coordinates of all 19 atoms:
Ho 0.9156 0.8311 0.1194  5 Ho 3.28-3.51, 2 Pb 3.31, 3 Er 3.35-3.61
Ho 0.0320 0.6965 0.7666  1 Pb 3.16, 4 Ho 3.43-3.51
Ho 0.6645 0.6965 0.7666  1 Pb 3.16, 4 Ho 3.43-3.51
Ho 0.1779 0.7524 0.3517  5 Ho 3.26-3.64, 4 Er 3.36-3.60, 1 Pb 3.51
Ho 0.5745 0.7524 0.3517  5 Ho 3.26-3.64, 4 Er 3.36-3.60, 1 Pb 3.51
Ho 0.4488 0.8976 0.6827  7 Ho 3.26-3.46, 2 Pb 3.27, 2 Er 3.30-3.35
Ho 0.5512 0.1024 0.3173  7 Ho 3.26-3.46, 2 Pb 3.27, 2 Er 3.30-3.35
Ho 0.8221 0.2476 0.6483  5 Ho 3.26-3.64, 4 Er 3.36-3.60, 1 Pb 3.51
Ho 0.4255 0.2476 0.6483  5 Ho 3.26-3.64, 4 Er 3.36-3.60, 1 Pb 3.51
Ho 0.9680 0.3035 0.2334  1 Pb 3.16, 4 Ho 3.43-3.51
Ho 0.3355 0.3035 0.2334  1 Pb 3.16, 4 Ho 3.43-3.51
Ho 0.0844 0.1689 0.8806  5 Ho 3.28-3.51, 2 Pb 3.31, 3 Er 3.35-3.61
Er 0.2358 0.4716 0.5829  8 Ho 3.30-3.56, 2 Er 3.61
Er 0.3159 0.6317 0.9995  2 Pb 3.34, 8 Ho 3.35-3.64, 1 Er 3.61
Er 0.0000 0.0000 0.5000  10 Ho 3.35-3.67, 2 Er 3.61
Er 0.6841 0.3683 0.0005  2 Pb 3.34, 8 Ho 3.35-3.64, 1 Er 3.61
Er 0.7642 0.5284 0.4171  8 Ho 3.30-3.56, 2 Er 3.61
Pb 0.6952 0.0000 0.0000  8 Ho 3.16-3.51, 2 Er 3.34
Pb 0.3048 0.0000 0.0000  8 Ho 3.16-3.51, 2 Er 3.34

Values from the calculation:
- Density of states at the Fermi level: 23.9 states/eV per cell
- Calculated formation energy: -0.03 eV per atom
- Energy: -4.51 eV per atom